## CeH3Ru (PBE-GGA)

Data for a geometry-optimized CeH3Ru structure.

Crystal system: monoclinic
M_tot in μB per atom: 0.131
Electronic total energy in eV/atom: -5.39

a = 4.505 Å, b = 5.307 Å, c = 5.200 Å
α = 90.00°, β = 90.00°, γ = 65.23°
Site moments in Bohr magnetons follow the coordinates.
Positions (direct):
Ce  0.127  0.275  0.052  0.60
Ce  0.433  0.691  0.552  0.60
H  0.014  0.317  0.552  0.00
H  0.547  0.649  0.052  0.00
H  0.688  0.211  0.856  0.00
H  0.688  0.211  0.248  0.00
H  0.872  0.755  0.356  0.00
H  0.872  0.755  0.748  0.00
Ru  0.844  0.079  0.552  -0.06
Ru  0.717  0.887  0.052  -0.06

=====

## LiEr2Ag6 (PBE-GGA)

Data for a geometry-optimized LiEr2Ag6 structure.

Excess energy over the best structure of this formula in the dataset in meV/atom: 53.8
Crystal system: monoclinic
Energy relative to the elements in eV per atom: -0.13
M_tot in μB per atom: 0.000
Electronic total energy in eV/atom: -3.25

a = 3.254 Å, b = 8.021 Å, c = 8.190 Å
α = 119.32°, β = 89.91°, γ = 90.00°
Positions (direct):
Li  0.000  0.000  0.000
Er  0.501  0.692  0.383
Er  0.499  0.308  0.617
Ag  0.000  0.336  0.310
Ag  0.000  0.027  0.690
Ag  0.000  0.664  0.690
Ag  0.500  0.311  0.000
Ag  0.000  0.973  0.310
Ag  0.500  0.689  0.000

=====

## CdAgSnRh (PBE-GGA)

Data for a geometry-optimized CdAgSnRh structure.

Crystal system: cubic
Energy relative to the elements in eV per atom: -0.09
M_tot in μB per atom: 0.000
Electronic total energy in eV/atom: -3.87

a = 4.705 Å, b = 4.705 Å, c = 4.705 Å
α = 60.00°, β = 60.00°, γ = 60.00°
Positions (direct):
Rh  0.000  0.000  0.000
Sn  0.250  0.250  0.250
Ag  0.500  0.500  0.500
Cd  0.750  0.750  0.750

=====

## Fe3Ge2 (PBE-GGA)

Data for a geometry-optimized Fe3Ge2 structure.

Crystal system: hexagonal
Energy relative to the elements in eV per atom: -0.08
M_tot in μB per atom: 1.133
Electronic total energy in eV/atom: -7.00

a = 3.999 Å, b = 3.999 Å, c = 4.911 Å
α = 90.00°, β = 90.00°, γ = 120.00°
Site moments in Bohr magnetons follow the coordinates.
Positions (direct):
Fe  0.000  0.000  0.746  2.19
Fe  0.000  0.000  0.254  2.19
Fe  0.667  0.333  0.000  1.55
Ge  0.667  0.333  0.500  -0.12
Ge  0.333  0.667  0.000  -0.10

=====

## SnGeTe2N (PBE-GGA)

Data for a geometry-optimized SnGeTe2N structure.

Excess energy over the best structure of this formula in the dataset in meV/atom: 0.0
Crystal system: tetragonal
Raw formation energy in eV/f.u.: 2.477
M_tot in μB per atom: 0.000
Electronic total energy in eV/atom: -4.15

a = 5.861 Å, b = 5.861 Å, c = 3.550 Å
α = 90.00°, β = 90.00°, γ = 90.00°
Positions (direct):
Ge  0.000  0.000  0.000
Te  0.000  0.500  0.000
Te  0.500  0.000  0.000
Sn  0.500  0.500  0.500
N  0.000  0.000  0.500

=====

## BaFeP2 (PBE-GGA)

Data for a geometry-optimized BaFeP2 structure.

Excess energy over the best structure of this formula in the dataset in meV/atom: 144.8
Crystal system: orthorhombic
Energy relative to the elements in eV per atom: -0.42
M_tot in μB per atom: 0.000
Electronic total energy in eV/atom: -5.72

a = 4.089 Å, b = 6.211 Å, c = 3.859 Å
α = 71.90°, β = 90.00°, γ = 90.00°
Positions (direct):
Ba  0.000  0.458  0.583
Fe  0.500  0.978  0.823
P  0.000  0.901  0.862
P  0.500  0.162  0.231

=====

## BaAlPb2 (PBE-GGA)

Data for a geometry-optimized BaAlPb2 structure.

Crystal system: tetragonal
Energy relative to the elements in eV per atom: -0.11
M_tot in μB per atom: 0.000
Electronic total energy in eV/atom: -3.38

a = 6.232 Å, b = 6.232 Å, c = 6.232 Å
α = 132.95°, β = 132.95°, γ = 68.73°
Positions (direct):
Pb  0.000  0.000  0.000
Pb  0.500  0.500  0.000
Ba  0.750  0.250  0.500
Al  0.250  0.750  0.500

=====

## Y2MnPbN (PBE-GGA)

Data for a geometry-optimized Y2MnPbN structure.

Excess energy over the best structure of this formula in the dataset in meV/atom: 0.0
Crystal system: tetragonal
Raw formation energy in eV/f.u.: -3.420
M_tot in μB per atom: 0.737
Electronic total energy in eV/atom: -7.51

a = 4.949 Å, b = 4.949 Å, c = 4.100 Å
α = 90.00°, β = 90.00°, γ = 90.00°
Site moments in Bohr magnetons follow the coordinates.
Positions (direct):
Pb  0.500  0.500  0.500  0.04
Y  0.000  0.500  0.000  -0.05
Y  0.500  0.000  0.000  -0.05
Mn  0.000  0.000  0.500  3.50
N  0.000  0.000  0.000  0.04